BeCr3Cl: optimized geometry, PBE-GGA.

Summary:
E above lowest polymorph	0	meV per atom
formation energy (no corrections)	5.01	eV/f.u.

Unit cell a=4.069 b=4.069 c=4.069 alpha=90.00 beta=90.00 gamma=90.00
Space group Pm-3m (No. 221)
Inequivalent atoms, fractional coordinates:
Be 0.000 0.000 0.000
Cr 0.000 0.500 0.500
Cl 0.500 0.500 0.500



Pu2TcO8: optimized geometry, PBE-GGA.

Summary:
formation energy (no corrections)	-24.08	eV/f.u.

Unit cell a=14.077 b=4.151 c=5.918 alpha=90.00 beta=96.19 gamma=90.00
Space group C2 (No. 5)
Inequivalent atoms, fractional coordinates:
Pu 0.249 0.000 0.254
Tc 0.000 0.239 0.500
O 0.069 0.473 0.702
O 0.078 0.005 0.358
O 0.195 0.993 0.932
O 0.207 0.504 0.411



ZrHgBPd2: optimized geometry, PBE-GGA.

Summary:
DFT formation energy	0.03	eV/atom

Unit cell a=4.320 b=4.320 c=4.465 alpha=90.00 beta=90.00 gamma=90.00
Space group P4/mmm (No. 123)
Inequivalent atoms, fractional coordinates:
Zr 0.000 0.000 0.000
Hg 0.500 0.500 0.000
B 0.500 0.500 0.500
Pd 0.000 0.500 0.500



Number 1: density of states at the Fermi level 6.732 states/eV per cell. Number 2: density of states at the Fermi level 18.132 states/eV per cell. Number 3: density of states at the Fermi level 3.856 states/eV per cell.